DFT (PBE+U) results for an optimized crystal structure of Li2CrGaF. Values from VASP.

Results
The density of states at the Fermi level comes out at 0.326 states/eV per atom. As for the total energy: -4.05 eV per atom. The space-group type is No. 123.

Quantum ESPRESSO input file:
```
&SYSTEM
  ibrav = 0, nat = 5, ntyp = 4
/
ATOMIC_SPECIES
Li 6.94 Li.upf
Cr 52.00 Cr.upf
Ga 69.72 Ga.upf
F 19.00 F.upf
ATOMIC_POSITIONS crystal
Li 0.000 0.500 0.000
Li 0.500 0.000 0.000
Cr 0.000 0.000 0.500
Ga 0.500 0.500 0.500
F 0.500 0.500 0.000
CELL_PARAMETERS angstrom
3.855 0.000 0.000
0.000 3.855 0.000
0.000 0.000 5.529
```